Entry 1:
# Er4Tl2InAg, relaxed, DFT GGA-PBE
data_Er4Tl2InAg
_space_group_name_H-M_alt 'R -3 m'
_space_group_IT_number 166
_space_group_name_Hall '-R 3 2"'
_cell_length_a 5.2594
_cell_length_b 5.2594
_cell_length_c 25.8520
_cell_angle_alpha 90.00
_cell_angle_beta 90.00
_cell_angle_gamma 120.00
loop_
_atom_site_label
_atom_site_type_symbol
_atom_site_fract_x
_atom_site_fract_y
_atom_site_fract_z
_atom_site_occupancy
Er1 Er 0.0000 0.0000 0.1228 1
Er2 Er 0.0000 0.0000 0.3734 1
Tl1 Tl 0.0000 0.0000 0.2518 1
In1 In 0.0000 0.0000 0.5000 1
Ag1 Ag 0.0000 0.0000 0.0000 1
# calculated total energy = -93.9 eV for the cell shown
# spin magnetization = 0.00 μB per atom
# Fermi-level density of states = 22.82 states/eV per cell
# E_form = -0.340 eV/atom

Entry 2:
# SrYGa2Au2, relaxed, DFT GGA-PBE
data_SrYGa2Au2
_space_group_name_H-M_alt 'P -3 m 1'
_space_group_IT_number 164
_space_group_name_Hall '-P 3 2"'
_cell_length_a 4.6282
_cell_length_b 4.6282
_cell_length_c 7.5599
_cell_angle_alpha 90.00
_cell_angle_beta 90.00
_cell_angle_gamma 120.00
loop_
_atom_site_label
_atom_site_type_symbol
_atom_site_fract_x
_atom_site_fract_y
_atom_site_fract_z
_atom_site_occupancy
Sr1 Sr 0.0000 0.0000 0.0000 1
Y1 Y 0.0000 0.0000 0.5000 1
Ga1 Ga 0.3333 0.6667 0.7068 1
Au1 Au 0.3333 0.6667 0.2945 1
# calculated total energy = -25.3 eV for the cell shown
# spin magnetization = 0.00 μB per atom
# Fermi-level density of states = 4.11 states/eV per cell
# E_form = -0.750 eV/atom

Entry 3:
# AlTeRh2, relaxed, DFT GGA-PBE
data_AlTeRh2
_space_group_name_H-M_alt 'C 1 m 1'
_space_group_IT_number 8
_space_group_name_Hall 'C -2y'
_cell_length_a 9.156
_cell_length_b 3.398
_cell_length_c 4.388
_cell_angle_alpha 90.00
_cell_angle_beta 104.34
_cell_angle_gamma 90.00
loop_
_atom_site_label
_atom_site_type_symbol
_atom_site_fract_x
_atom_site_fract_y
_atom_site_fract_z
_atom_site_occupancy
Al1 Al 0.000 0.000 0.000 1
Te1 Te 0.237 0.000 0.608 1
Rh1 Rh 0.002 0.500 0.479 1
Rh2 Rh 0.228 0.500 0.090 1
# polymorph energy (0 for the lowest one) = 0.035 eV/atom
# calculated total energy = -46.4 eV for the cell shown
# energy relative to the elements, uncorrected = -0.400 eV per atom
# spin magnetization = 0.00 μB per atom
# Fermi-level density of states = 3.41 states/eV per cell

Entry 4:
# ReSbMo2, relaxed, DFT GGA-PBE
data_ReSbMo2
_space_group_name_H-M_alt 'P m m m'
_space_group_IT_number 47
_space_group_name_Hall '-P 2 2'
_cell_length_a 2.981
_cell_length_b 4.203
_cell_length_c 5.374
_cell_angle_alpha 90.00
_cell_angle_beta 90.00
_cell_angle_gamma 90.00
loop_
_atom_site_label
_atom_site_type_symbol
_atom_site_fract_x
_atom_site_fract_y
_atom_site_fract_z
_atom_site_occupancy
Re1 Re 0.000 0.000 0.000 1
Sb1 Sb 0.000 0.000 0.500 1
Mo1 Mo 0.500 0.500 0.234 1
# calculated total energy = -37.0 eV for the cell shown
# energy relative to the elements, uncorrected = 0.297 eV per atom
# spin magnetization = 0.00 μB per atom
# Fermi-level density of states = 3.16 states/eV per cell

Look up the Fermi-level density of states of the third one. 3.41 states/eV per cell